--- 1 ---
Below is an optimized crystal structure of KAl2W, with properties calculated at the PBE level.

The structure in CIF format:
```
data_KAl2W
_chemical_formula_sum 'K1 Al2 W1'
_symmetry_space_group_name_H-M 'P m m m'
_symmetry_Int_Tables_number 47
_cell_length_a 2.7492
_cell_length_b 5.2032
_cell_length_c 5.9004
_cell_angle_alpha 90.00
_cell_angle_beta 90.00
_cell_angle_gamma 90.00
loop_
_symmetry_equiv_pos_as_xyz
'x,y,z'
'-x,-y,-z'
'-x,-y,z'
'x,y,-z'
'x,-y,-z'
'-x,y,z'
'-x,y,-z'
'x,-y,z'
loop_
_atom_site_label
_atom_site_type_symbol
_atom_site_fract_x
_atom_site_fract_y
_atom_site_fract_z
_atom_site_occupancy
K1 K 0.0000 0.0000 0.0000 1
Al1 Al 0.0000 0.5000 0.5000 1
Al2 Al 0.5000 0.5000 0.0000 1
W1 W 0.5000 0.0000 0.5000 1
```

Summary:
DOS at the Fermi energy   2.04 states/eV per cell

=====

--- 2 ---
Below is an optimized crystal structure of KAl2W, with properties calculated at the PBE level.

The structure in CIF format:
```
data_KAl2W
_chemical_formula_sum 'K2 Al4 W2'
_symmetry_space_group_name_H-M 'I m m m'
_symmetry_Int_Tables_number 71
_symmetry_space_group_name_Hall '-I 2 2'
_cell_length_a 2.8068
_cell_length_b 6.1277
_cell_length_c 11.2107
_cell_angle_alpha 90.00
_cell_angle_beta 90.00
_cell_angle_gamma 90.00
loop_
_atom_site_label
_atom_site_type_symbol
_atom_site_fract_x
_atom_site_fract_y
_atom_site_fract_z
_atom_site_occupancy
K1 K 0.0000 0.0000 0.0000 1
Al1 Al 0.0000 0.5000 0.2013 1
W1 W 0.0000 0.0000 0.5000 1
```

Summary:
DOS at the Fermi energy   5.89 states/eV per cell

=====

Which one sits at the top of the stability order? 2 does.

=====

--- 1 ---
Below is an optimized crystal structure of KAl2W, with properties calculated at the PBE level.

The structure in CIF format:
```
data_KAl2W
_chemical_formula_sum 'K2 Al4 W2'
_symmetry_space_group_name_H-M 'I 4/m m m'
_symmetry_Int_Tables_number 139
_symmetry_space_group_name_Hall '-I 4 2'
_cell_length_a 4.4600
_cell_length_b 4.4600
_cell_length_c 7.8928
_cell_angle_alpha 90.00
_cell_angle_beta 90.00
_cell_angle_gamma 90.00
loop_
_atom_site_label
_atom_site_type_symbol
_atom_site_fract_x
_atom_site_fract_y
_atom_site_fract_z
_atom_site_occupancy
K1 K 0.0000 0.0000 0.0000 1
Al1 Al 0.0000 0.5000 0.2500 1
W1 W 0.0000 0.0000 0.5000 1
```

Summary:
DOS at the Fermi energy   3.88 states/eV per cell

=====

--- 2 ---
Below is an optimized crystal structure of KAl2W, with properties calculated at the PBE level.

The structure in CIF format:
```
data_KAl2W
_chemical_formula_sum 'K3 Al6 W3'
_symmetry_space_group_name_H-M 'R 3 m'
_symmetry_Int_Tables_number 160
_symmetry_space_group_name_Hall 'R 3 -2"'
_cell_length_a 2.9265
_cell_length_b 2.9265
_cell_length_c 31.5496
_cell_angle_alpha 90.00
_cell_angle_beta 90.00
_cell_angle_gamma 120.00
loop_
_atom_site_label
_atom_site_type_symbol
_atom_site_fract_x
_atom_site_fract_y
_atom_site_fract_z
_atom_site_occupancy
K1 K 0.0000 0.0000 0.0000 1
Al1 Al 0.0000 0.0000 0.5007 1
Al2 Al 0.0000 0.0000 0.7621 1
W1 W 0.0000 0.0000 0.2360 1
```

Summary:
DOS at the Fermi energy   9.02 states/eV per cell

=====

--- 3 ---
Below is an optimized crystal structure of KAl2W, with properties calculated at the PBE level.

The structure in CIF format:
```
data_KAl2W
_chemical_formula_sum 'K4 Al8 W4'
_symmetry_space_group_name_H-M 'I 41/a m d'
_symmetry_Int_Tables_number 141
_cell_length_a 5.4789
_cell_length_b 5.4789
_cell_length_c 17.5148
_cell_angle_alpha 90.00
_cell_angle_beta 90.00
_cell_angle_gamma 90.00
loop_
_symmetry_equiv_pos_as_xyz
'x,y,z'
'-x,-y,-z'
'-y+1/4,x+3/4,z+1/4'
'y+1/4,-x+3/4,-z+1/4'
'-x+1/2,-y,z+1/2'
'x+1/2,y,-z+1/2'
'y+1/4,-x+1/4,z+3/4'
'-y+1/4,x+1/4,-z+3/4'
'x,-y,-z'
'-x,y,z'
'-y+1/4,-x+1/4,-z+3/4'
'y+1/4,x+1/4,z+3/4'
'-x+1/2,y,-z+1/2'
'x+1/2,-y,z+1/2'
'y+1/4,x+3/4,-z+1/4'
'-y+1/4,-x+3/4,z+1/4'
'x+1/2,y+1/2,z+1/2'
'-x+1/2,-y+1/2,-z+1/2'
'-y+3/4,x+1/4,z+3/4'
'y+3/4,-x+1/4,-z+3/4'
'-x,-y+1/2,z'
'x,y+1/2,-z'
'y+3/4,-x+3/4,z+1/4'
'-y+3/4,x+3/4,-z+1/4'
'x+1/2,-y+1/2,-z+1/2'
'-x+1/2,y+1/2,z+1/2'
'-y+3/4,-x+3/4,-z+1/4'
'y+3/4,x+3/4,z+1/4'
'-x,y+1/2,-z'
'x,-y+1/2,z'
'y+3/4,x+1/4,-z+3/4'
'-y+3/4,-x+1/4,z+3/4'
loop_
_atom_site_label
_atom_site_type_symbol
_atom_site_fract_x
_atom_site_fract_y
_atom_site_fract_z
_atom_site_occupancy
K1 K 0.0000 0.2500 0.3750 1
Al1 Al 0.0000 0.0000 0.0000 1
W1 W 0.0000 0.2500 0.8750 1
```

Summary:
DOS at the Fermi energy   10.91 states/eV per cell

=====

Which one sits at the top of the stability order? 2 does.

=====

--- 1 ---
Below is an optimized crystal structure of KAl2W, with properties calculated at the PBE level.

The structure in CIF format:
```
data_KAl2W
_chemical_formula_sum 'K2 Al4 W2'
_symmetry_space_group_name_H-M 'I -4 m 2'
_symmetry_Int_Tables_number 119
_symmetry_space_group_name_Hall 'I -4 -2'
_cell_length_a 4.1261
_cell_length_b 4.1261
_cell_length_c 9.2872
_cell_angle_alpha 90.00
_cell_angle_beta 90.00
_cell_angle_gamma 90.00
loop_
_atom_site_label
_atom_site_type_symbol
_atom_site_fract_x
_atom_site_fract_y
_atom_site_fract_z
_atom_site_occupancy
K1 K 0.0000 0.0000 0.0000 1
Al1 Al 0.0000 0.0000 0.5000 1
Al2 Al 0.0000 0.5000 0.2500 1
W1 W 0.0000 0.5000 0.7500 1
```

Summary:
DOS at the Fermi energy   4.73 states/eV per cell

=====

--- 2 ---
Below is an optimized crystal structure of KAl2W, with properties calculated at the PBE level.

The structure in CIF format:
```
data_KAl2W
_chemical_formula_sum 'K1 Al2 W1'
_symmetry_space_group_name_H-M 'P m m 2'
_symmetry_Int_Tables_number 25
_cell_length_a 2.7877
_cell_length_b 3.8871
_cell_length_c 8.4190
_cell_angle_alpha 90.00
_cell_angle_beta 90.00
_cell_angle_gamma 90.00
loop_
_symmetry_equiv_pos_as_xyz
'x,y,z'
'-x,-y,z'
'-x,y,z'
'x,-y,z'
loop_
_atom_site_label
_atom_site_type_symbol
_atom_site_fract_x
_atom_site_fract_y
_atom_site_fract_z
_atom_site_occupancy
K1 K 0.0000 0.0000 0.0000 1
Al1 Al 0.0000 0.0000 0.4832 1
Al2 Al 0.5000 0.5000 0.6639 1
W1 W 0.5000 0.5000 0.3435 1
```

Summary:
DOS at the Fermi energy   3.55 states/eV per cell

=====

Which one sits at the top of the stability order? 2 does.

=====

--- 1 ---
Below is an optimized crystal structure of KY2Al2, with properties calculated at the PBE level.

The structure in CIF format:
```
data_KY2Al2
_chemical_formula_sum 'K2 Y4 Al4'
_symmetry_space_group_name_H-M 'P 4/m b m'
_symmetry_Int_Tables_number 127
_symmetry_space_group_name_Hall '-P 4 2ab'
_cell_length_a 9.3061
_cell_length_b 9.3061
_cell_length_c 3.2795
_cell_angle_alpha 90.00
_cell_angle_beta 90.00
_cell_angle_gamma 90.00
loop_
_atom_site_label
_atom_site_type_symbol
_atom_site_fract_x
_atom_site_fract_y
_atom_site_fract_z
_atom_site_occupancy
K1 K 0.0000 0.0000 0.0000 1
Y1 Y 0.1274 0.3726 0.0000 1
Al1 Al 0.1692 0.6692 0.5000 1
```

Summary:
DOS at the Fermi energy   5.08 states/eV per cell

=====

--- 2 ---
Below is an optimized crystal structure of KY2Al2, with properties calculated at the PBE level.

The structure in CIF format:
```
data_KY2Al2
_chemical_formula_sum 'K2 Y4 Al4'
_symmetry_space_group_name_H-M 'P 4/m b m'
_symmetry_Int_Tables_number 127
_symmetry_space_group_name_Hall '-P 4 2ab'
_cell_length_a 8.9274
_cell_length_b 8.9274
_cell_length_c 3.5449
_cell_angle_alpha 90.00
_cell_angle_beta 90.00
_cell_angle_gamma 90.00
loop_
_atom_site_label
_atom_site_type_symbol
_atom_site_fract_x
_atom_site_fract_y
_atom_site_fract_z
_atom_site_occupancy
K1 K 0.0000 0.0000 0.0000 1
Y1 Y 0.1741 0.3259 0.5000 1
Al1 Al 0.1115 0.6115 0.0000 1
```

Summary:
DOS at the Fermi energy   8.44 states/eV per cell

=====

Which one sits at the top of the stability order? 1 does.

=====

--- 1 ---
Below is an optimized crystal structure of KYAl3, with properties calculated at the PBE level.

The structure in CIF format:
```
data_KYAl3
_chemical_formula_sum 'K1 Y1 Al3'
_symmetry_space_group_name_H-M 'P m -3 m'
_symmetry_Int_Tables_number 221
_symmetry_space_group_name_Hall '-P 4 2 3'
_cell_length_a 5.7277
_cell_length_b 5.7277
_cell_length_c 5.7277
_cell_angle_alpha 90.00
_cell_angle_beta 90.00
_cell_angle_gamma 90.00
loop_
_atom_site_label
_atom_site_type_symbol
_atom_site_fract_x
_atom_site_fract_y
_atom_site_fract_z
_atom_site_occupancy
K1 K 0.0000 0.0000 0.0000 1
Y1 Y 0.5000 0.5000 0.5000 1
Al1 Al 0.0000 0.5000 0.5000 1
```

Summary:
DOS at the Fermi energy   6.53 states/eV per cell

=====

--- 2 ---
Below is an optimized crystal structure of KYAl3, with properties calculated at the PBE level.

The structure in CIF format:
```
data_KYAl3
_chemical_formula_sum 'K1 Y1 Al3'
_symmetry_space_group_name_H-M 'P m -3 m'
_symmetry_Int_Tables_number 221
_symmetry_space_group_name_Hall '-P 4 2 3'
_cell_length_a 5.2442
_cell_length_b 5.2442
_cell_length_c 5.2442
_cell_angle_alpha 90.00
_cell_angle_beta 90.00
_cell_angle_gamma 90.00
loop_
_atom_site_label
_atom_site_type_symbol
_atom_site_fract_x
_atom_site_fract_y
_atom_site_fract_z
_atom_site_occupancy
K1 K 0.0000 0.0000 0.0000 1
Y1 Y 0.5000 0.5000 0.5000 1
Al1 Al 0.0000 0.0000 0.5000 1
```

Summary:
DOS at the Fermi energy   3.50 states/eV per cell

=====

Which one sits at the top of the stability order? 1 does.

=====

--- 1 ---
Below is an optimized crystal structure of K2AlZn, with properties calculated at the PBE level.

The structure in CIF format:
```
data_K2AlZn
_chemical_formula_sum 'K4 Al2 Zn2'
_symmetry_space_group_name_H-M 'I m m 2'
_symmetry_Int_Tables_number 44
_cell_length_a 4.5482
_cell_length_b 6.1065
_cell_length_c 10.5716
_cell_angle_alpha 90.00
_cell_angle_beta 90.00
_cell_angle_gamma 90.00
loop_
_symmetry_equiv_pos_as_xyz
'x,y,z'
'-x,-y,z'
'-x,y,z'
'x,-y,z'
'x+1/2,y+1/2,z+1/2'
'-x+1/2,-y+1/2,z+1/2'
'-x+1/2,y+1/2,z+1/2'
'x+1/2,-y+1/2,z+1/2'
loop_
_atom_site_label
_atom_site_type_symbol
_atom_site_fract_x
_atom_site_fract_y
_atom_site_fract_z
_atom_site_occupancy
K1 K 0.0000 0.0000 0.0000 1
K2 K 0.0000 0.5000 0.1851 1
Al1 Al 0.0000 0.0000 0.3868 1
Zn1 Zn 0.0000 0.5000 0.7967 1
```

Summary:
DOS at the Fermi energy   4.14 states/eV per cell

=====

--- 2 ---
Below is an optimized crystal structure of K2AlZn, with properties calculated at the PBE level.

The structure in CIF format:
```
data_K2AlZn
_chemical_formula_sum 'K4 Al2 Zn2'
_symmetry_space_group_name_H-M 'C 1 2/m 1'
_symmetry_Int_Tables_number 12
_cell_length_a 10.4542
_cell_length_b 3.0939
_cell_length_c 8.8021
_cell_angle_alpha 90.00
_cell_angle_beta 93.16
_cell_angle_gamma 90.00
loop_
_symmetry_equiv_pos_as_xyz
'x,y,z'
'-x,-y,-z'
'-x,y,-z'
'x,-y,z'
'x+1/2,y+1/2,z'
'-x+1/2,-y+1/2,-z'
'-x+1/2,y+1/2,-z'
'x+1/2,-y+1/2,z'
loop_
_atom_site_label
_atom_site_type_symbol
_atom_site_fract_x
_atom_site_fract_y
_atom_site_fract_z
_atom_site_occupancy
K1 K 0.2492 0.0000 0.2524 1
Al1 Al 0.0000 0.0000 0.5000 1
Zn1 Zn 0.0000 0.5000 0.0000 1
```

Summary:
DOS at the Fermi energy   4.44 states/eV per cell

=====

--- 3 ---
Below is an optimized crystal structure of K2AlZn, with properties calculated at the PBE level.

The structure in CIF format:
```
data_K2AlZn
_chemical_formula_sum 'K4 Al2 Zn2'
_symmetry_space_group_name_H-M 'C m m m'
_symmetry_Int_Tables_number 65
_symmetry_space_group_name_Hall '-C 2 2'
_cell_length_a 9.1186
_cell_length_b 9.1374
_cell_length_c 3.3555
_cell_angle_alpha 90.00
_cell_angle_beta 90.00
_cell_angle_gamma 90.00
loop_
_atom_site_label
_atom_site_type_symbol
_atom_site_fract_x
_atom_site_fract_y
_atom_site_fract_z
_atom_site_occupancy
K1 K 0.2500 0.2500 0.0000 1
Al1 Al 0.0000 0.0000 0.5000 1
Zn1 Zn 0.0000 0.5000 0.5000 1
```

Summary:
DOS at the Fermi energy   4.87 states/eV per cell

=====

Which one sits at the top of the stability order? 1 does.